Entry 1:
The following is a DFT calculation (GGA-PBE) of a relaxed structure of La8TbDy2.

Results
ΔE_f   12 kJ/mol of atoms
Polymorph energy (0 for the lowest one)   104 meV per atom
Total moment   0.0 μB per formula unit
DFT total energy   -4.7167 eV/atom

```
data_La8TbDy2
_chemical_formula_sum 'La8 Tb1 Dy2'
_cell_length_a 6.086
_cell_length_b 9.614
_cell_length_c 9.614
_cell_angle_alpha 122.35
_cell_angle_beta 105.65
_cell_angle_gamma 105.65
_symmetry_space_group_name_H-M 'P 1'
_symmetry_Int_Tables_number 1
_symmetry_space_group_name_Hall 'P 1'
loop_
_atom_site_label
_atom_site_type_symbol
_atom_site_fract_x
_atom_site_fract_y
_atom_site_fract_z
La1 La 0.816 0.904 0.666
La2 La 0.816 0.666 0.904
La3 La 0.298 0.579 0.579
La4 La 0.500 0.795 0.205
La5 La 0.500 0.205 0.795
La6 La 0.702 0.421 0.421
La7 La 0.184 0.334 0.096
La8 La 0.184 0.096 0.334
Tb1 Tb 0.500 0.000 0.000
Dy1 Dy 0.000 0.311 0.689
Dy2 Dy 0.000 0.689 0.311
```

***

Entry 2:
The following is a DFT calculation (GGA-PBE) of a relaxed structure of Dy3Ga3Si2.

Results
Total moment   0.0 μB per formula unit
DFT total energy   -4.8647 eV/atom

```
data_Dy3Ga3Si2
_chemical_formula_sum 'Dy6 Ga6 Si4'
_cell_length_a 4.037
_cell_length_b 5.801
_cell_length_c 15.253
_cell_angle_alpha 90.00
_cell_angle_beta 90.00
_cell_angle_gamma 110.36
_symmetry_space_group_name_H-M 'P 1'
_symmetry_Int_Tables_number 1
_symmetry_space_group_name_Hall 'P 1'
loop_
_atom_site_label
_atom_site_type_symbol
_atom_site_fract_x
_atom_site_fract_y
_atom_site_fract_z
Dy1 Dy 0.859 0.719 0.407
Dy2 Dy 0.141 0.281 0.907
Dy3 Dy 0.859 0.719 0.093
Dy4 Dy 0.141 0.281 0.593
Dy5 Dy 0.575 0.149 0.250
Dy6 Dy 0.425 0.851 0.750
Ga1 Ga 0.576 0.151 0.444
Ga2 Ga 0.424 0.849 0.944
Ga3 Ga 0.576 0.151 0.056
Ga4 Ga 0.424 0.849 0.556
Ga5 Ga 0.308 0.616 0.250
Ga6 Ga 0.692 0.384 0.750
Si1 Si 0.844 0.689 0.879
Si2 Si 0.156 0.311 0.379
Si3 Si 0.844 0.689 0.621
Si4 Si 0.156 0.311 0.121
```

***

Which value of total moment does entry 2 give? 0.0 μB per formula unit

***

What is the formula in the second record? Dy3Ga3Si2

***

Which of these has the highest DFT total energy? La8TbDy2